Material: Tb7Pm16Ho6
Method: DFT, PBE
State: relaxed

abc: 11.2670 11.2670 11.2670
angles: 60.00 60.00 60.00
Last column: nearest neighbours and their distance in Å.
Positions (direct):
Pm  0.1249  0.1249  0.1249  4 Tb 3.45, 3 Ho 3.60, 3 Pm 3.63
Pm  0.8751  0.8751  0.8751  4 Tb 3.45, 3 Ho 3.60, 3 Pm 3.63
Tb  0.5000  0.5000  0.0000  8 Pm 3.29-3.45
Tb  0.0000  0.5000  0.5000  8 Pm 3.29-3.45
Pm  0.1249  0.1249  0.6254  4 Tb 3.45, 3 Ho 3.60, 3 Pm 3.63
Pm  0.6497  0.6497  0.0508  3 Tb 3.29, 3 Ho 3.63, 3 Pm 3.63
Pm  0.3503  0.3503  0.3503  3 Tb 3.29, 3 Ho 3.63, 3 Pm 3.63
Ho  0.2661  0.7339  0.7339  8 Pm 3.60-3.63, 4 Tb 3.99
Ho  0.2661  0.7339  0.2661  8 Pm 3.60-3.63, 4 Tb 3.99
Pm  0.1249  0.6254  0.1249  4 Tb 3.45, 3 Ho 3.60, 3 Pm 3.63
Pm  0.8751  0.8751  0.3746  4 Tb 3.45, 3 Ho 3.60, 3 Pm 3.63
Tb  0.5000  0.0000  0.5000  8 Pm 3.29-3.45
Pm  0.8751  0.3746  0.8751  4 Tb 3.45, 3 Ho 3.60, 3 Pm 3.63
Ho  0.7339  0.7339  0.2661  8 Pm 3.60-3.63, 4 Tb 3.99
Ho  0.7339  0.2661  0.7339  8 Pm 3.60-3.63, 4 Tb 3.99
Pm  0.3503  0.9492  0.3503  3 Tb 3.29, 3 Ho 3.63, 3 Pm 3.63
Pm  0.6497  0.0508  0.6497  3 Tb 3.29, 3 Ho 3.63, 3 Pm 3.63
Tb  0.5000  0.0000  0.0000  8 Pm 3.29-3.45
Pm  0.6497  0.6497  0.6497  3 Tb 3.29, 3 Ho 3.63, 3 Pm 3.63
Tb  0.0000  0.0000  0.0000  8 Pm 3.45
Tb  0.0000  0.0000  0.5000  8 Pm 3.29-3.45
Pm  0.6254  0.1249  0.1249  4 Tb 3.45, 3 Ho 3.60, 3 Pm 3.63
Pm  0.0508  0.6497  0.6497  3 Tb 3.29, 3 Ho 3.63, 3 Pm 3.63
Ho  0.2661  0.2661  0.7339  8 Pm 3.60-3.63, 4 Tb 3.99
Pm  0.9492  0.3503  0.3503  3 Tb 3.29, 3 Ho 3.63, 3 Pm 3.63
Ho  0.7339  0.2661  0.2661  8 Pm 3.60-3.63, 4 Tb 3.99
Pm  0.3746  0.8751  0.8751  4 Tb 3.45, 3 Ho 3.60, 3 Pm 3.63
Pm  0.3503  0.3503  0.9492  3 Tb 3.29, 3 Ho 3.63, 3 Pm 3.63
Tb  0.0000  0.5000  0.0000  8 Pm 3.29-3.45

Properties
Calculated density = 7.26 g/cm³

Material: Tb10Pm4Ho
Method: DFT, PBE
State: relaxed

abc: 7.7538 9.4784 9.4784
angles: 80.37 65.86 65.86
Last column: nearest neighbours and their distance in Å.
Positions (direct):
Pm  0.2010  0.3995  0.1985  8 Tb 3.35-3.36
Pm  0.7990  0.6005  0.8015  8 Tb 3.35-3.36
Tb  0.6529  0.2979  0.9000  1 Ho 3.33, 3 Pm 3.35-3.36
Tb  0.5529  0.1000  0.2979  1 Ho 3.33, 3 Pm 3.35-3.36
Tb  0.0492  0.1000  0.2979  1 Ho 3.33, 3 Pm 3.35-3.36
Tb  0.4471  0.9000  0.7021  1 Ho 3.33, 3 Pm 3.35-3.36
Tb  0.3471  0.7021  0.1000  1 Ho 3.33, 3 Pm 3.35-3.36
Tb  0.7500  0.5000  0.5000  4 Pm 3.36
Tb  0.1492  0.2979  0.9000  1 Ho 3.33, 3 Pm 3.35-3.36
Tb  0.9508  0.9000  0.7021  1 Ho 3.33, 3 Pm 3.35-3.36
Tb  0.8508  0.7021  0.1000  1 Ho 3.33, 3 Pm 3.35-3.36
Ho  0.0000  0.0000  0.0000  8 Tb 3.33
Pm  0.3995  0.8015  0.3995  8 Tb 3.35-3.36
Pm  0.6005  0.1985  0.6005  8 Tb 3.35-3.36
Tb  0.2500  0.5000  0.5000  4 Pm 3.36

Properties
Calculated density = 6.68 g/cm³

Material: Tb3Pm4Ho8
Method: DFT, PBE
State: relaxed

abc: 6.7452 9.2722 9.2722
angles: 87.36 111.40 111.40
Last column: nearest neighbours and their distance in Å.
Positions (direct):
Ho  0.5000  0.2553  0.7447  3 Tb 3.13-3.35, 3 Pm 3.27-3.35
Tb  0.5000  0.0000  0.5000  4 Ho 3.21-3.35, 2 Pm 3.37
Ho  0.0000  0.6388  0.3612  7 Ho 3.56-3.64, 4 Tb 3.64-3.81, 2 Pm 3.64
Ho  0.5000  0.7447  0.2553  3 Tb 3.13-3.35, 3 Pm 3.27-3.35
Ho  0.4746  0.7326  0.7326  3 Tb 3.21, 2 Ho 3.23-3.52, 2 Pm 3.50-3.55
Pm  0.0000  0.0000  0.0000  2 Pm 3.37, 4 Ho 3.55-3.59
Pm  0.0000  0.0000  0.5000  4 Ho 3.21-3.35, 2 Tb 3.37
Ho  0.0057  0.2693  0.2693  1 Tb 3.21, 3 Pm 3.21-3.50, 4 Ho 3.23-3.59
Tb  0.5000  0.5000  0.0000  4 Ho 3.21-3.35, 2 Pm 3.37
Pm  0.5000  0.0000  0.0000  6 Ho 3.27-3.50, 2 Pm 3.37
Ho  0.9943  0.7307  0.7307  1 Tb 3.21, 3 Pm 3.21-3.50, 4 Ho 3.23-3.59
Tb  0.5000  0.5000  0.5000  6 Ho 3.13-3.21
Ho  0.5254  0.2674  0.2674  3 Tb 3.21, 2 Ho 3.23-3.52, 2 Pm 3.50-3.55
Pm  0.0000  0.5000  0.0000  4 Ho 3.21-3.35, 2 Tb 3.37
Ho  0.0000  0.3612  0.6388  7 Ho 3.56-3.64, 4 Tb 3.64-3.81, 2 Pm 3.64

Properties
Excess energy over the best structure of this formula in the dataset = 248 meV/atom
Calculated density = 7.89 g/cm³

Material: TbPm4Ho7
Method: DFT, PBE
State: relaxed

abc: 6.8284 8.7498 9.0535
angles: 84.39 94.98 47.76
Last column: nearest neighbours and their distance in Å.
Positions (direct):
Ho  0.0188  0.6808  0.3579  5 Ho 3.38-3.71, 4 Pm 3.46-3.54
Ho  0.7356  0.5122  0.9505  5 Ho 3.37-3.55, 4 Pm 3.38-3.69, 1 Tb 3.48
Ho  0.9812  0.3192  0.6421  5 Ho 3.38-3.71, 4 Pm 3.46-3.54
Ho  0.2644  0.4878  0.0495  5 Ho 3.37-3.55, 4 Pm 3.38-3.69, 1 Tb 3.48
Ho  0.7063  0.1870  0.3832  5 Ho 3.29-3.62, 5 Pm 3.33-3.67
Pm  0.4471  0.3620  0.7151  8 Ho 3.33-3.68, 1 Tb 3.40, 2 Pm 3.51-3.54
Pm  0.5529  0.6380  0.2849  8 Ho 3.33-3.68, 1 Tb 3.40, 2 Pm 3.51-3.54
Tb  0.0000  0.0000  0.0000  2 Pm 3.40, 4 Ho 3.41-3.48
Pm  0.7780  0.8381  0.6920  7 Ho 3.39-3.69, 2 Pm 3.51-3.54
Ho  0.2937  0.8130  0.6168  5 Ho 3.29-3.62, 5 Pm 3.33-3.67
Ho  0.5000  0.0000  0.0000  4 Pm 3.39-3.68, 2 Tb 3.41, 4 Ho 3.50-3.71
Pm  0.2220  0.1619  0.3080  7 Ho 3.39-3.69, 2 Pm 3.51-3.54

Properties
Excess energy over the best structure of this formula in the dataset = 0 meV/atom
Calculated density = 8.06 g/cm³

Material: TbPm12Ho3
Method: DFT, PBE
State: relaxed

abc: 5.1223 5.1223 20.4304
angles: 90.00 90.00 90.00
Last column: nearest neighbours and their distance in Å.
Positions (direct):
Pm  0.0000  0.5000  0.1254  2 Ho 3.62, 8 Pm 3.62, 2 Tb 3.62
Pm  0.5000  0.0000  0.1254  2 Ho 3.62, 8 Pm 3.62, 2 Tb 3.62
Ho  0.0000  0.0000  0.7497  12 Pm 3.61-3.62
Ho  0.0000  0.0000  0.2503  12 Pm 3.61-3.62
Pm  0.0000  0.5000  0.8746  2 Ho 3.62, 8 Pm 3.62, 2 Tb 3.62
Pm  0.5000  0.5000  0.2504  8 Pm 3.61-3.62, 4 Ho 3.62
Pm  0.5000  0.0000  0.6249  8 Pm 3.61-3.62, 4 Ho 3.61-3.62
Pm  0.5000  0.5000  0.0000  4 Tb 3.62, 8 Pm 3.62
Pm  0.0000  0.5000  0.6249  8 Pm 3.61-3.62, 4 Ho 3.61-3.62
Pm  0.5000  0.5000  0.5000  8 Pm 3.62, 4 Ho 3.62
Tb  0.0000  0.0000  0.0000  12 Pm 3.62
Pm  0.5000  0.0000  0.8746  2 Ho 3.62, 8 Pm 3.62, 2 Tb 3.62
Pm  0.5000  0.0000  0.3751  8 Pm 3.61-3.62, 4 Ho 3.61-3.62
Pm  0.0000  0.5000  0.3751  8 Pm 3.61-3.62, 4 Ho 3.61-3.62
Ho  0.0000  0.0000  0.5000  12 Pm 3.62
Pm  0.5000  0.5000  0.7496  8 Pm 3.61-3.62, 4 Ho 3.62

Properties
Calculated density = 7.42 g/cm³

Material: TbPm5Ho6
Method: DFT, PBE
State: relaxed

abc: 5.0704 10.0760 9.4680
angles: 122.15 105.54 90.00
Last column: nearest neighbours and their distance in Å.
Positions (direct):
Ho  0.5000  0.7510  0.0000  6 Pm 3.56-3.58, 2 Tb 3.57, 4 Ho 3.58
Ho  0.1664  0.9170  0.3328  1 Tb 3.57, 7 Pm 3.57-3.59, 4 Ho 3.58-3.59
Ho  0.1664  0.4158  0.3328  1 Tb 3.57, 7 Pm 3.57-3.59, 4 Ho 3.58-3.59
Tb  0.0000  0.0000  0.0000  8 Ho 3.57, 4 Pm 3.58
Ho  0.8336  0.0830  0.6672  1 Tb 3.57, 7 Pm 3.57-3.59, 4 Ho 3.58-3.59
Pm  0.3333  0.3333  0.6667  8 Ho 3.57-3.58, 4 Pm 3.58-3.59
Pm  0.0000  0.5000  0.0000  8 Ho 3.58, 4 Pm 3.58-3.59
Ho  0.8336  0.5842  0.6672  1 Tb 3.57, 7 Pm 3.57-3.59, 4 Ho 3.58-3.59
Pm  0.3341  0.8341  0.6682  8 Ho 3.56-3.59, 2 Tb 3.58, 2 Pm 3.59
Pm  0.6659  0.1659  0.3318  8 Ho 3.56-3.59, 2 Tb 3.58, 2 Pm 3.59
Pm  0.6667  0.6667  0.3333  8 Ho 3.57-3.58, 4 Pm 3.58-3.59
Ho  0.5000  0.2490  0.0000  6 Pm 3.56-3.58, 2 Tb 3.57, 4 Ho 3.58

Properties
Calculated density = 8.01 g/cm³

Looking at calculated formation energy for the records above, in order, we have 218, 745, 373, 87, 15, 17 meV per atom.